Density functional theory data (GGA-PBE) for a relaxed structure of NdPu2Ni9.

POSCAR file:
```
NdPu2Ni9
1.0
-1.411 -4.765 -0.214
3.190 -3.470 -1.589
3.190 -3.856 7.042
Nd Pu Ni
1 2 9
Direct
0.000 0.000 0.000
0.857 0.857 0.429
0.143 0.143 0.571
0.667 0.667 0.999
0.333 0.333 0.001
0.500 0.500 0.500
0.417 0.417 0.248
0.918 0.417 0.248
0.417 0.918 0.248
0.583 0.583 0.752
0.583 0.082 0.752
0.082 0.583 0.752
```

Computed properties:
uncorrected energy = -0.272 hartree per atom
symmetry = R-3m, No. 166

=====

Density functional theory data (GGA-PBE) for a relaxed structure of PuIn2Cu.

POSCAR file:
```
PuIn2Cu
1.0
-1.619 -2.894 -0.056
0.669 -2.228 -2.363
6.406 -5.577 4.744
Pu In Cu
1 2 1
Direct
0.500 0.500 0.499
0.070 0.070 0.790
0.263 0.263 0.210
0.666 0.666 0.001
```

Computed properties:
symmetry = R3m, No. 160
energy relative to the lowest polymorph listed for this composition = 200 meV per atom

=====

Density functional theory data (GGA-PBE) for a relaxed structure of K2Ge2As.

POSCAR file:
```
K2Ge2As
1.0
-6.971 1.695 -0.140
-0.273 -0.532 7.150
1.277 5.291 0.442
K As Ge
4 2 4
Direct
0.192 0.692 0.500
0.692 0.808 0.500
0.808 0.308 0.500
0.308 0.192 0.500
0.000 0.000 0.000
0.500 0.500 0.000
0.380 0.880 0.000
0.880 0.620 0.000
0.620 0.120 0.000
0.120 0.380 0.000
```

Computed properties:
uncorrected energy = -0.120 hartree per atom
symmetry = P4/mbm, No. 127

=====

Density functional theory data (GGA-PBE) for a relaxed structure of LiTiPH2.

POSCAR file:
```
LiTiPH2
1.0
-1.197 2.402 2.569
-0.037 -3.578 3.328
3.517 0.795 0.895
P Li H Ti
1 1 2 1
Direct
0.000 0.000 0.000
0.500 0.500 0.500
0.000 0.000 0.500
0.500 0.000 0.000
0.000 0.500 0.000
```

Computed properties:
uncorrected energy = -0.140 hartree per atom
symmetry = P4/mmm, No. 123

=====

Density functional theory data (GGA-PBE) for a relaxed structure of Te2RuCl.

POSCAR file:
```
Te2RuCl
1.0
-2.290 4.631 0.712
-2.248 -3.701 2.906
2.147 0.674 2.520
Cl Ru Te
1 1 2
Direct
0.500 0.000 0.500
0.000 0.500 0.500
0.000 0.000 0.000
0.500 0.500 0.000
```

Computed properties:
energy relative to the elements, uncorrected = 0.609 eV/atom
symmetry = Cmmm, No. 65
energy relative to the lowest polymorph listed for this composition = 813 meV per atom

=====

Density functional theory data (GGA-PBE) for a relaxed structure of CoRuPb2.

POSCAR file:
```
CoRuPb2
1.0
4.103 -2.053 1.038
1.823 0.435 4.315
0.110 -3.709 2.892
Pb Ru Co
2 1 1
Direct
0.250 0.250 0.250
0.750 0.750 0.750
0.500 0.500 0.500
0.000 0.000 0.000
```

Computed properties:
symmetry = Fm-3m, No. 225
energy relative to the lowest polymorph listed for this composition = 208 meV per atom

=====

Density functional theory data (GGA-PBE) for a relaxed structure of OsPdAu2.

POSCAR file:
```
OsPdAu2
1.0
0.000 3.212 3.212
3.212 0.000 3.212
3.212 3.212 0.000
Os Au Pd
1 2 1
Direct
0.500 0.500 0.500
0.250 0.250 0.250
0.750 0.750 0.750
0.000 0.000 0.000
```

Computed properties:
symmetry = Fm-3m, No. 225
energy relative to the lowest polymorph listed for this composition = 0 meV per atom

=====

Density functional theory data (GGA-PBE) for a relaxed structure of La3TmPb3.

POSCAR file:
```
La3TmPb3
1.0
7.873 0.051 -0.043
-3.462 7.072 -0.043
-0.742 -1.198 8.622
La Tm Pb
6 2 6
Direct
0.644 0.644 0.391
0.179 0.821 0.500
0.821 0.179 0.500
0.241 0.759 0.000
0.759 0.241 0.000
0.356 0.356 0.609
0.712 0.712 0.974
0.288 0.288 0.026
0.001 0.001 0.240
0.854 0.534 0.717
0.534 0.854 0.717
0.146 0.466 0.283
0.466 0.146 0.283
0.999 0.999 0.760
```

Computed properties:
uncorrected energy = -0.173 hartree per atom
symmetry = C2/m, No. 12

=====

Q: Number 4 is which compound?
A: LiTiPH2